The following is a PBE calculation of a geometry-optimized Ba2ZnGa structure, from Alexandria via LeMat-Bulk.

a b c (Å): 4.231 4.231 11.712
angles (deg): 79.59 79.59 60.00
Sites, in units of the cell vectors:
Zn 0.500 0.500 0.500
Ba 0.099 0.099 0.703
Ba 0.901 0.901 0.297
Ga 0.000 0.000 0.000

Results
The calculation puts the energy relative to the elements at 0.280 eV per atom. As for the space group: R-3m. As for the density of states at the Fermi level: 5.84 states/eV/f.u. As for the crystal system: trigonal. The value obtained for the size of the total moment is 0.3 Bohr magnetons per cell.